The following is a DFT calculation (PBE) of a relaxed YHfHg2 crystal.

abc: 6.5075 6.5075 6.5075
angles: 105.68 105.68 117.36
Fractional coordinates of all 8 atoms:
Y: 0.0000 0.0000 0.0000
Y: 0.7500 0.2500 0.5000
Hf: 0.2500 0.7500 0.5000
Hf: 0.5000 0.5000 0.0000
Hg: 0.1460 0.1250 0.5210
Hg: 0.3750 0.8540 0.9790
Hg: 0.6040 0.6250 0.4790
Hg: 0.8750 0.3960 0.0210

symmetry	I-42d
calculated volume	209.1	Å³/cell
DFT total energy	-4.153	eV/atom
energy of formation	0.102	eV per atom
energy relative to the lowest polymorph listed for this composition	317	meV per atom